Entry 1:
# BaPIO2 PBE optimized geometry
data_BaPIO2
_chemical_formula_sum 'Ba1 P1 I1 O2'
_cell_length_a 4.465
_cell_length_b 4.465
_cell_length_c 5.119
_cell_angle_alpha 90.00
_cell_angle_beta 90.00
_cell_angle_gamma 90.00
_symmetry_space_group_name_H-M 'P 4/m m m'
_symmetry_Int_Tables_number 123
_symmetry_space_group_name_Hall '-P 4 2'
loop_
_atom_site_label
_atom_site_type_symbol
_atom_site_fract_x
_atom_site_fract_y
_atom_site_fract_z
Ba1 Ba 0.000 0.000 0.000
P1 P 0.500 0.500 0.500
I1 I 0.500 0.500 0.000
O1 O 0.000 0.500 0.500
# Energy relative to the lowest polymorph listed for this composition = 0 meV per atom
# Crystal system = tetragonal
# Fermi-level density of states = 0.04 states/eV per atom
# Formation energy (no corrections) = -325 kJ/mol of formula units
# Total energy = -22.2 eV for the cell shown
# Mass density = 5.32 g/cm3

***

Entry 2:
# Er4AlZn2Hg PBE optimized geometry
data_Er4AlZn2Hg
_chemical_formula_sum 'Er12 Al3 Zn6 Hg3'
_cell_length_a 5.0751
_cell_length_b 5.0751
_cell_length_c 24.9323
_cell_angle_alpha 90.00
_cell_angle_beta 90.00
_cell_angle_gamma 120.00
_symmetry_space_group_name_H-M 'R -3 m'
_symmetry_Int_Tables_number 166
_symmetry_space_group_name_Hall '-R 3 2"'
loop_
_atom_site_label
_atom_site_type_symbol
_atom_site_fract_x
_atom_site_fract_y
_atom_site_fract_z
Er1 Er 0.0000 0.0000 0.1236
Er2 Er 0.0000 0.0000 0.3736
Al1 Al 0.0000 0.0000 0.0000
Zn1 Zn 0.0000 0.0000 0.2520
Hg1 Hg 0.0000 0.0000 0.5000
# Crystal system = trigonal
# Fermi-level density of states = 0.84 states/eV per atom
# Formation energy from the elements = -37.7 kJ/mol of atoms
# Total energy = -83.9 eV for the cell shown
# Mass density = 9.20 g/cm3

***

Entry 3:
# K2LaSe PBE optimized geometry
data_K2LaSe
_chemical_formula_sum 'K2 La1 Se1'
_cell_length_a 3.940
_cell_length_b 3.940
_cell_length_c 11.490
_cell_angle_alpha 90.00
_cell_angle_beta 90.00
_cell_angle_gamma 90.00
_symmetry_space_group_name_H-M 'P 4 m m'
_symmetry_Int_Tables_number 99
_symmetry_space_group_name_Hall 'P 4 -2'
loop_
_atom_site_label
_atom_site_type_symbol
_atom_site_fract_x
_atom_site_fract_y
_atom_site_fract_z
K1 K 0.000 0.000 0.000
K2 K 0.500 0.500 0.347
La1 La 0.000 0.000 0.669
Se1 Se 0.500 0.500 0.774
# Crystal system = tetragonal
# Fermi-level density of states = 0.94 states/eV per atom
# Formation energy (no corrections) = -275 kJ/mol of formula units
# Total energy = -13.5 eV for the cell shown
# Mass density = 2.76 g/cm3

***

Entry 4:
# HfZnPt2N PBE optimized geometry
data_HfZnPt2N
_chemical_formula_sum 'Hf1 Zn1 Pt2 N1'
_cell_length_a 4.461
_cell_length_b 4.461
_cell_length_c 5.045
_cell_angle_alpha 90.00
_cell_angle_beta 90.00
_cell_angle_gamma 90.00
_symmetry_space_group_name_H-M 'P 4/m m m'
_symmetry_Int_Tables_number 123
_symmetry_space_group_name_Hall '-P 4 2'
loop_
_atom_site_label
_atom_site_type_symbol
_atom_site_fract_x
_atom_site_fract_y
_atom_site_fract_z
Hf1 Hf 0.000 0.000 0.000
Zn1 Zn 0.000 0.000 0.500
Pt1 Pt 0.000 0.500 0.500
N1 N 0.500 0.500 0.000
# Crystal system = tetragonal
# Fermi-level density of states = 0.89 states/eV per atom
# Formation energy (no corrections) = 775 kJ/mol of formula units
# Total energy = -23.6 eV for the cell shown
# Mass density = 10.72 g/cm3

***

Entry 5:
# RbCoCu2 PBE optimized geometry
data_RbCoCu2
_chemical_formula_sum 'Rb4 Co4 Cu8'
_cell_length_a 5.043
_cell_length_b 5.043
_cell_length_c 16.057
_cell_angle_alpha 90.00
_cell_angle_beta 90.00
_cell_angle_gamma 90.00
_symmetry_space_group_name_H-M 'I -4 2 d'
_symmetry_Int_Tables_number 122
_symmetry_space_group_name_Hall 'I -4 2bw'
loop_
_atom_site_label
_atom_site_type_symbol
_atom_site_fract_x
_atom_site_fract_y
_atom_site_fract_z
Rb1 Rb 0.000 0.000 0.000
Co1 Co 0.000 0.000 0.500
Cu1 Cu 0.004 0.750 0.625
# Energy relative to the lowest polymorph listed for this composition = 0 meV per atom
# Crystal system = tetragonal
# Fermi-level density of states = 1.15 states/eV per atom
# Formation energy from the elements = 72.0 kJ/mol of atoms
# Total energy = -53.1 eV for the cell shown
# Mass density = 4.42 g/cm3

***

Entry 6:
# Fe2SbOs PBE optimized geometry
data_Fe2SbOs
_chemical_formula_sum 'Fe4 Sb2 Os2'
_cell_length_a 3.856
_cell_length_b 3.856
_cell_length_c 7.369
_cell_angle_alpha 90.00
_cell_angle_beta 90.00
_cell_angle_gamma 90.00
_symmetry_space_group_name_H-M 'I 4/m m m'
_symmetry_Int_Tables_number 139
_symmetry_space_group_name_Hall '-I 4 2'
loop_
_atom_site_label
_atom_site_type_symbol
_atom_site_fract_x
_atom_site_fract_y
_atom_site_fract_z
Fe1 Fe 0.000 0.500 0.250
Sb1 Sb 0.000 0.000 0.000
Os1 Os 0.000 0.000 0.500
# Crystal system = tetragonal
# Fermi-level density of states = 1.16 states/eV per atom
# Formation energy (no corrections) = 153 kJ/mol of formula units
# Total energy = -61.4 eV for the cell shown
# Mass density = 12.84 g/cm3